[1]
Entry from Alexandria: K2CoRh after structural relaxation (PBEsol).

## Properties
energy of formation: 0.5942 eV per atom
calculated density: 3.5 g cm⁻³
energy: -3.941 eV per atom
excess energy over the best structure of this formula in the dataset: 20 meV/atom

Cell lengths 3.2917, 3.5250, 19.3934 Å; angles 90.00, 90.00, 90.00 degrees
Space group Immm (No. 71)
Symmetry-distinct sites (fractional):
K 0.0000 0.0000 0.1411 (multiplicity 4)
Co 0.0000 0.5000 0.5000 (multiplicity 2)
Rh 0.0000 0.5000 0.0000 (multiplicity 2)

[2]
Entry from Alexandria: Ba2Y2FeCo2CuO10 after structural relaxation (PBEsol).

## Properties
calculated density: 6.5 g cm⁻³
energy: -7.625 eV per atom
E_form (uncorrected): -2.11 eV/atom

Cell lengths 5.4164, 5.4164, 14.7937 Å; angles 90.00, 90.00, 90.00 degrees
Space group I4mm (No. 107)
Symmetry-distinct sites (fractional):
Ba 0.0000 0.5000 0.0000 (multiplicity 4)
Y 0.0000 0.5000 0.2523 (multiplicity 4)
Fe 0.0000 0.0000 0.1343 (multiplicity 2)
Co 0.0000 0.0000 0.3675 (multiplicity 2)
Co 0.0000 0.0000 0.8616 (multiplicity 2)
Cu 0.0000 0.0000 0.6363 (multiplicity 2)
O 0.0000 0.0000 0.0055 (multiplicity 2)
O 0.0000 0.0000 0.4983 (multiplicity 2)
O 0.2415 0.2415 0.1590 (multiplicity 8)
O 0.2475 0.2475 0.8487 (multiplicity 8)

[3]
Entry from Alexandria: ScCu2Ir after structural relaxation (PBEsol).

## Properties
energy of formation: -0.2917 eV per atom
calculated density: 10.7 g cm⁻³
energy: -6.566 eV per atom
excess energy over the best structure of this formula in the dataset: 115 meV/atom

Cell lengths 3.1839, 3.1839, 5.5839 Å; angles 90.00, 90.00, 90.00 degrees
Space group P4mm (No. 99)
Symmetry-distinct sites (fractional):
Sc 0.0000 0.0000 0.0000 (multiplicity 1)
Cu 0.0000 0.0000 0.4874 (multiplicity 1)
Cu 0.5000 0.5000 0.2843 (multiplicity 1)
Ir 0.5000 0.5000 0.7447 (multiplicity 1)

[4]
Entry from Alexandria: KCdCu7Se2Cl9O8 after structural relaxation (PBEsol).

## Properties
calculated density: 3.9 g cm⁻³
energy: -4.303 eV per atom
E_form (uncorrected): -0.72 eV/atom

Cell lengths 8.7913, 8.7913, 15.1828 Å; angles 90.00, 90.00, 120.00 degrees
Space group P6_3/mmc (No. 194)
Symmetry-distinct sites (fractional):
K 0.0000 0.0000 0.2500 (multiplicity 2)
Cd 0.0000 0.0000 0.0000 (multiplicity 2)
Cu 0.0945 0.5472 0.0930 (multiplicity 12)
Cu 0.3333 0.6667 0.2500 (multiplicity 2)
Se 0.3333 0.6667 0.6005 (multiplicity 4)
Cl 0.0163 0.5082 0.2500 (multiplicity 6)
Cl 0.1399 0.2799 0.1003 (multiplicity 12)
O 0.1351 0.5676 0.5448 (multiplicity 12)
O 0.3333 0.6667 0.1262 (multiplicity 4)

[5]
Entry from Alexandria: MgZn5N4 after structural relaxation (PBEsol).

## Properties
calculated density: 5.8 g cm⁻³
energy: -4.472 eV per atom
E_form (uncorrected): -0.10 eV/atom

Cell lengths 6.5723, 7.2355, 4.9059 Å; angles 90.00, 90.00, 90.00 degrees
Space group Pmmn (No. 59, origin choice 2)
Symmetry-distinct sites (fractional):
Mg 0.2500 0.2500 0.2219 (multiplicity 2)
Zn 0.0005 0.0654 0.7512 (multiplicity 8)
Zn 0.2500 0.7500 0.7672 (multiplicity 2)
N 0.0003 0.2500 0.4616 (multiplicity 4)
N 0.2500 0.5013 0.0003 (multiplicity 4)

[6]
Entry from Alexandria: Zr2TiAgO after structural relaxation (PBEsol).

## Properties
calculated density: 6.0 g cm⁻³
energy: -6.970 eV per atom
E_form (uncorrected): 0.04 eV/atom

Cell lengths 5.1845, 5.1845, 3.6434 Å; angles 90.00, 90.00, 90.00 degrees
Space group P4/mmm (No. 123)
Symmetry-distinct sites (fractional):
Zr 0.0000 0.5000 0.0000 (multiplicity 2)
Ti 0.0000 0.0000 0.0000 (multiplicity 1)
Ag 0.5000 0.5000 0.5000 (multiplicity 1)
O 0.0000 0.0000 0.5000 (multiplicity 1)

[7]
Entry from Alexandria: Zr3CCl after structural relaxation (PBEsol).

## Properties
calculated density: 5.4 g cm⁻³
energy: -6.653 eV per atom
E_form (uncorrected): 1.13 eV/atom

Cell lengths 4.6168, 4.6168, 4.6168 Å; angles 90.00, 90.00, 90.00 degrees
Space group Pm-3m (No. 221)
Symmetry-distinct sites (fractional):
Zr 0.0000 0.0000 0.5000 (multiplicity 3)
C 0.5000 0.5000 0.5000 (multiplicity 1)
Cl 0.0000 0.0000 0.0000 (multiplicity 1)

[8]
Entry from Alexandria: PrSmCo17 after structural relaxation (PBEsol).

## Properties
energy of formation: -0.0403 eV per atom
calculated density: 9.2 g cm⁻³
energy: -7.504 eV per atom

Cell lengths 8.2317, 8.2317, 11.9609 Å; angles 90.00, 90.00, 120.00 degrees
Space group R3m (No. 160, hexagonal axes)
Symmetry-distinct sites (fractional):
Pr 0.0000 0.0000 0.0000 (multiplicity 3)
Sm 0.0000 0.0000 0.6898 (multiplicity 3)
Co 0.0000 0.0000 0.2497 (multiplicity 3)
Co 0.0000 0.0000 0.4420 (multiplicity 3)
Co 0.0005 0.2857 0.3457 (multiplicity 18)
Co 0.0058 0.5029 0.1917 (multiplicity 9)
Co 0.1671 0.3342 0.1794 (multiplicity 9)
Co 0.1693 0.3387 0.8320 (multiplicity 9)

We obtain volume values of 28.13 12.06 14.15 18.15 11.66 19.59 19.68 12.31 Å³ per atom for the records listed above, in that order.